The following is a DFT calculation (SCAN) of a crystal of HgPPb relaxed with PBEsol.

Cell: 4.8588 4.8588 4.8588 Å, 60.00 60.00 60.00°
With the nearest neighbours (Å) after each atom.
Sites, in units of the cell vectors:
Hg  0.0000  0.0000  0.0000  4 Pb 2.98
P  0.5000  0.5000  0.5000  4 Pb 2.98
Pb  0.7500  0.7500  0.7500  4 P 2.98, 4 Hg 2.98

Values from the calculation:
Relative energy among the computed polymorphs, eV per formula unit: 1.01
Space group: No. 216

=====

The following is a DFT calculation (SCAN) of a crystal of Tl2HgPPb relaxed with PBEsol.

Cell: 5.3795 5.3795 5.6405 Å, 90.00 90.00 90.00°
With the nearest neighbours (Å) after each atom.
Sites, in units of the cell vectors:
Tl  0.0000  0.5000  0.0000  2 Hg 2.69
Tl  0.5000  0.0000  0.0000  2 Hg 2.69
Hg  0.0000  0.0000  0.0000  4 Tl 2.69, 2 Pb 2.82
P  0.5000  0.5000  0.5000  4 Pb 3.80, 8 Tl 3.90
Pb  0.0000  0.0000  0.5000  2 Hg 2.82

Values from the calculation:
Space group: No. 123

=====

The following is a DFT calculation (SCAN) of a crystal of HgPPd5 relaxed with PBEsol.

Cell: 3.9195 3.9195 6.9464 Å, 90.00 90.00 90.00°
With the nearest neighbours (Å) after each atom.
Sites, in units of the cell vectors:
Hg  0.0000  0.0000  0.0000  12 Pd 2.77-2.87
P  0.5000  0.5000  0.5000  8 Pd 2.40
Pd  0.0000  0.5000  0.3018  2 P 2.40
Pd  0.0000  0.5000  0.6982  2 P 2.40
Pd  0.5000  0.0000  0.3018  2 P 2.40
Pd  0.5000  0.0000  0.6982  2 P 2.40
Pd  0.5000  0.5000  0.0000  4 Hg 2.77, 8 Pd 2.87

Values from the calculation:
Space group: No. 123

=====

The following is a DFT calculation (SCAN) of a crystal of Hg2PPt relaxed with PBEsol.

Cell: 3.9417 3.9417 4.8400 Å, 90.00 90.00 91.26°
With the nearest neighbours (Å) after each atom.
Sites, in units of the cell vectors:
Hg  0.2494  0.7506  0.0000  4 Hg 2.76-2.82, 2 Pt 2.80, 2 P 2.80
Hg  0.7506  0.2494  0.0000  4 Hg 2.76-2.82, 2 Pt 2.80, 2 P 2.80
P  0.5000  0.5000  0.5000  4 Pt 2.76-2.82, 4 Hg 2.80
Pt  0.0000  0.0000  0.5000  4 P 2.76-2.82, 4 Hg 2.80

Values from the calculation:
Space group: No. 65

=====

Number 1: E_form 1.5 eV per formula unit, density 9.0 g/cm3. Number 2: E_form 3.6 eV per formula unit, density 8.6 g/cm3. Number 3: E_form -2.8 eV per formula unit, density 11.9 g/cm3. Number 4: E_form 1.5 eV per formula unit, density 13.9 g/cm3.